VASP calculation (PBE) on a relaxed structure of AsHF2.

The value obtained for the total energy is -4.022 eV per atom. As for the density: 4.2 g/cm3.

The structure belongs to space group R-3m (No. 166, hexagonal axes); the cell edges are 2.9113, 2.9113 and 18.6218 Å and the angles 90.00°, 90.00° and 120.00°. Symmetry generates all atoms from As at (0.0000, 0.0000, 0.0000), H at (0.0000, 0.0000, 0.5000) and F at (0.0000, 0.0000, 0.4383).